Entry one
! LiInCl4 PBE relaxed; values from VASP
! Mass density   2.77 g/cm3
&SYSTEM
  ibrav = 0, nat = 12, ntyp = 3
/
ATOMIC_SPECIES
Li 6.94 Li.upf
In 114.82 In.upf
Cl 35.45 Cl.upf
CELL_PARAMETERS angstrom
-0.3192 2.0669 -3.1792
-2.3037 -5.1711 -3.1306
-12.0109 3.1328 3.2427
ATOMIC_POSITIONS crystal
Li 0.0000 0.0000 0.5000
Li 0.5000 0.5000 0.0000
In 0.5000 0.5000 0.5000
In 0.0000 0.0000 0.0000
Cl 0.5000 0.1816 0.3967
Cl 0.0000 0.3184 0.1033
Cl 0.5000 0.8184 0.6033
Cl 0.0000 0.6816 0.8967
Cl 0.0000 0.6635 0.3851
Cl 0.5000 0.8365 0.1149
Cl 0.0000 0.3365 0.6149
Cl 0.5000 0.1635 0.8851

---

Entry two
! LiInCl4 PBE relaxed; values from VASP
! Mass density   2.67 g/cm3
&SYSTEM
  ibrav = 0, nat = 6, ntyp = 3
/
ATOMIC_SPECIES
Li 6.94 Li.upf
In 114.82 In.upf
Cl 35.45 Cl.upf
CELL_PARAMETERS angstrom
0.0000 4.3438 4.3438
4.3438 0.0000 4.3438
4.3438 4.3438 0.0000
ATOMIC_POSITIONS crystal
Li 0.0000 0.0000 0.0000
In 0.7500 0.7500 0.7500
Cl 0.8749 0.3750 0.3750
Cl 0.3750 0.3750 0.8749
Cl 0.3750 0.8749 0.3750
Cl 0.3750 0.3750 0.3750

---

Least stable of them? entry two.

---

Entry one
! Li2InCl4 PBE relaxed; values from VASP
! Mass density   2.27 g/cm3
&SYSTEM
  ibrav = 0, nat = 7, ntyp = 3
/
ATOMIC_SPECIES
Cl 35.45 Cl.upf
Li 6.94 Li.upf
In 114.82 In.upf
CELL_PARAMETERS angstrom
-4.0118 2.7460 2.3123
-2.2889 -4.6280 1.5248
0.3546 -0.7469 7.7692
ATOMIC_POSITIONS crystal
Cl 0.1983 0.1983 0.6034
Cl 0.8017 0.8017 0.3966
Cl 0.0000 0.5000 0.0000
Cl 0.5000 0.0000 0.0000
Li 0.3613 0.3613 0.2774
Li 0.6387 0.6387 0.7226
In 0.0000 0.0000 0.0000

---

Entry two
! Li2InCl4 PBE relaxed; values from VASP
! Mass density   2.34 g/cm3
&SYSTEM
  ibrav = 0, nat = 7, ntyp = 3
/
ATOMIC_SPECIES
Li 6.94 Li.upf
In 114.82 In.upf
Cl 35.45 Cl.upf
CELL_PARAMETERS angstrom
5.6245 0.0000 0.0000
0.0000 5.6245 0.0000
-2.8122 -2.8122 6.0760
ATOMIC_POSITIONS crystal
Li 0.7500 0.2500 0.5000
Li 0.2500 0.7500 0.5000
In 0.5000 0.5000 0.0000
Cl 0.8977 0.3791 0.2767
Cl 0.3791 0.8977 0.2767
Cl 0.6209 0.6209 0.7233
Cl 0.1023 0.1023 0.7233

---

Least stable of them? entry one.

---

Entry one
! Li2In2Cl7 PBE relaxed; values from VASP
! Mass density   2.24 g/cm3
&SYSTEM
  ibrav = 0, nat = 11, ntyp = 3
/
ATOMIC_SPECIES
Li 6.94 Li.upf
In 114.82 In.upf
Cl 35.45 Cl.upf
CELL_PARAMETERS angstrom
-4.2655 -5.9361 -0.5781
4.4872 -2.6037 -5.3386
1.8045 -1.8750 6.9745
ATOMIC_POSITIONS crystal
Li 0.5000 0.2567 0.7433
Li 0.5000 0.7433 0.2567
In 0.8530 0.2898 0.2898
In 0.1470 0.7102 0.7102
Cl 0.3350 0.9185 0.5802
Cl 0.6650 0.4198 0.0815
Cl 0.6650 0.0815 0.4198
Cl 0.3350 0.5802 0.9185
Cl 0.0000 0.0000 0.0000
Cl 0.7959 0.6075 0.6075
Cl 0.2041 0.3925 0.3925

---

Entry two
! Li2In2Cl7 PBE relaxed; values from VASP
! Mass density   2.58 g/cm3
&SYSTEM
  ibrav = 0, nat = 22, ntyp = 3
/
ATOMIC_SPECIES
Li 6.94 Li.upf
In 114.82 In.upf
Cl 35.45 Cl.upf
CELL_PARAMETERS angstrom
-3.0475 -4.5162 -4.6487
6.0081 -3.4800 -1.7568
-3.8542 -3.1028 13.1808
ATOMIC_POSITIONS crystal
Li 0.4127 0.7301 0.4702
Li 0.2699 0.5873 0.0298
Li 0.7301 0.4127 0.9702
Li 0.5873 0.2699 0.5298
In 0.2001 0.2547 0.2321
In 0.2547 0.2001 0.7321
In 0.7453 0.7999 0.2679
In 0.7999 0.7453 0.7679
Cl 0.0731 0.6043 0.3426
Cl 0.0966 0.3353 0.0611
Cl 0.5326 0.3844 0.3747
Cl 0.9531 0.0469 0.2500
Cl 0.6043 0.0731 0.8426
Cl 0.3353 0.0966 0.5611
Cl 0.3844 0.5326 0.8747
Cl 0.6156 0.4674 0.1253
Cl 0.6647 0.9034 0.4389
Cl 0.3957 0.9269 0.1574
Cl 0.0469 0.9531 0.7500
Cl 0.4674 0.6156 0.6253
Cl 0.9034 0.6647 0.9389
Cl 0.9269 0.3957 0.6574

---

Least stable of them? entry one.

---

Entry one
! Na2LiInCl6 PBE relaxed; values from VASP
! Mass density   2.40 g/cm3
&SYSTEM
  ibrav = 0, nat = 10, ntyp = 4
/
ATOMIC_SPECIES
Na 22.99 Na.upf
Li 6.94 Li.upf
In 114.82 In.upf
Cl 35.45 Cl.upf
CELL_PARAMETERS angstrom
6.6831 0.0002 0.0006
3.3416 5.7879 0.0000
3.3419 1.9305 6.8099
ATOMIC_POSITIONS crystal
Na 0.5185 0.5184 0.4449
Na 0.0178 0.0177 0.9469
Li 0.6941 0.6940 0.9178
In 0.3423 0.3423 0.9730
Cl 0.5890 0.2971 0.1695
Cl 0.2969 0.9444 0.1696
Cl 0.9443 0.5891 0.1695
Cl 0.4378 0.7166 0.7414
Cl 0.7166 0.1043 0.7414
Cl 0.1043 0.4378 0.7414

---

Entry two
! Na2LiInCl6 PBE relaxed; values from VASP
! Mass density   2.47 g/cm3
&SYSTEM
  ibrav = 0, nat = 10, ntyp = 4
/
ATOMIC_SPECIES
Na 22.99 Na.upf
Li 6.94 Li.upf
In 114.82 In.upf
Cl 35.45 Cl.upf
CELL_PARAMETERS angstrom
0.0000 5.0410 5.0410
5.0410 0.0000 5.0410
5.0410 5.0410 0.0000
ATOMIC_POSITIONS crystal
Na 0.7500 0.7500 0.7500
Na 0.2500 0.2500 0.2500
Li 0.5000 0.5000 0.5000
In 0.0000 0.0000 0.0000
Cl 0.2501 0.7499 0.2501
Cl 0.7499 0.2501 0.2501
Cl 0.7499 0.2501 0.7499
Cl 0.2501 0.2501 0.7499
Cl 0.7499 0.7499 0.2501
Cl 0.2501 0.7499 0.7499

---

Least stable of them? entry two.

---

Entry one
! LiNb3InCl9 PBE relaxed; values from VASP
! Mass density   2.99 g/cm3
&SYSTEM
  ibrav = 0, nat = 28, ntyp = 4
/
ATOMIC_SPECIES
Li 6.94 Li.upf
Nb 92.91 Nb.upf
In 114.82 In.upf
Cl 35.45 Cl.upf
CELL_PARAMETERS angstrom
9.8012 0.6584 1.6730
-0.7288 9.2433 1.5950
-1.6149 -2.8676 7.9919
ATOMIC_POSITIONS crystal
Li 0.6306 0.5319 0.2177
Li 0.3694 0.4681 0.7823
Nb 0.0399 0.9872 0.2243
Nb 0.9601 0.0128 0.7757
Nb 0.8755 0.0841 0.4786
Nb 0.5070 0.6391 0.5529
Nb 0.1245 0.9159 0.5214
Nb 0.4930 0.3609 0.4471
In 0.3922 0.8773 0.0480
In 0.6078 0.1227 0.9520
Cl 0.9627 0.2404 0.2988
Cl 0.6460 0.1349 0.3490
Cl 0.2640 0.0507 0.3529
Cl 0.8453 0.2542 0.8682
Cl 0.0836 0.1693 0.6340
Cl 0.7102 0.4909 0.4847
Cl 0.5410 0.7494 0.3133
Cl 0.3540 0.8651 0.6510
Cl 0.1450 0.0839 0.9873
Cl 0.0373 0.7596 0.7012
Cl 0.4590 0.2506 0.6867
Cl 0.5428 0.6279 0.8430
Cl 0.8550 0.9161 0.0127
Cl 0.1547 0.7458 0.1318
Cl 0.9164 0.8307 0.3660
Cl 0.2898 0.5091 0.5153
Cl 0.7360 0.9493 0.6471
Cl 0.4572 0.3721 0.1570

---

Entry two
! LiNb3InCl9 PBE relaxed; values from VASP
! Mass density   3.46 g/cm3
&SYSTEM
  ibrav = 0, nat = 28, ntyp = 4
/
ATOMIC_SPECIES
Li 6.94 Li.upf
Nb 92.91 Nb.upf
In 114.82 In.upf
Cl 35.45 Cl.upf
CELL_PARAMETERS angstrom
9.4362 -0.0763 -0.0207
-1.2013 9.4245 -0.0249
-2.4173 -4.9650 7.7882
ATOMIC_POSITIONS crystal
Li 0.6156 0.0455 0.1897
Li 0.3844 0.9545 0.8103
Nb 0.1409 0.5743 0.2447
Nb 0.8591 0.4257 0.7553
Nb 0.1299 0.3461 0.8932
Nb 0.8578 0.3007 0.9828
Nb 0.8701 0.6539 0.1068
Nb 0.1422 0.6993 0.0172
In 0.3532 0.2669 0.5054
In 0.6468 0.7331 0.4946
Cl 0.0008 0.6476 0.7326
Cl 0.6811 0.5947 0.8360
Cl 0.3324 0.9579 0.0485
Cl 0.9842 0.0835 0.8530
Cl 0.0119 0.7650 0.4127
Cl 0.6668 0.3276 0.4440
Cl 0.3199 0.5546 0.8961
Cl 0.3189 0.4053 0.1640
Cl 0.2964 0.1558 0.7543
Cl 0.9992 0.3524 0.2674
Cl 0.6801 0.4454 0.1039
Cl 0.6667 0.1742 0.6885
Cl 0.7036 0.8442 0.2457
Cl 0.0158 0.9165 0.1470
Cl 0.9881 0.2350 0.5873
Cl 0.3332 0.6724 0.5560
Cl 0.6676 0.0421 0.9515
Cl 0.3333 0.8258 0.3115

---

Least stable of them? entry one.

---

Entry one
! Rb2LiInCl6 PBE relaxed; values from VASP
! Mass density   3.06 g/cm3
&SYSTEM
  ibrav = 0, nat = 20, ntyp = 4
/
ATOMIC_SPECIES
Rb 85.47 Rb.upf
Li 6.94 Li.upf
In 114.82 In.upf
Cl 35.45 Cl.upf
CELL_PARAMETERS angstrom
-5.7816 -4.4180 -0.1741
4.2749 -5.6571 1.5925
-1.5785 1.6538 10.1126
ATOMIC_POSITIONS crystal
Rb 0.0022 0.9870 0.2502
Rb 0.5022 0.5130 0.7502
Rb 0.9978 0.0130 0.7498
Rb 0.4978 0.4870 0.2498
Li 0.5000 0.0000 0.0000
Li 0.0000 0.5000 0.5000
In 0.5000 0.0000 0.5000
In 0.0000 0.5000 0.0000
Cl 0.2693 0.7242 0.0139
Cl 0.7693 0.7758 0.5139
Cl 0.7307 0.2758 0.9861
Cl 0.2307 0.2242 0.4861
Cl 0.2762 0.7300 0.4875
Cl 0.7762 0.7700 0.9875
Cl 0.7238 0.2700 0.5125
Cl 0.2238 0.2300 0.0125
Cl 0.9736 0.4995 0.2456
Cl 0.4736 0.0005 0.7456
Cl 0.0264 0.5005 0.7544
Cl 0.5264 0.9995 0.2544

---

Entry two
! Rb2LiInCl6 PBE relaxed; values from VASP
! Mass density   3.13 g/cm3
&SYSTEM
  ibrav = 0, nat = 10, ntyp = 4
/
ATOMIC_SPECIES
Cl 35.45 Cl.upf
Li 6.94 Li.upf
Rb 85.47 Rb.upf
In 114.82 In.upf
CELL_PARAMETERS angstrom
-2.9411 -5.3733 4.6295
6.5720 -3.9493 -0.4087
3.3949 -2.4075 5.7298
ATOMIC_POSITIONS crystal
Cl 0.2653 0.2653 0.4695
Cl 0.7347 0.7347 0.5305
Cl 0.2367 0.2367 0.0000
Cl 0.7633 0.7633 0.0000
Cl 0.7633 0.2367 0.0000
Cl 0.2367 0.7633 0.0000
Li 0.5000 0.5000 0.0000
Rb 0.7500 0.2500 0.5000
Rb 0.2500 0.7500 0.5000
In 0.0000 0.0000 0.0000

---

Least stable of them? entry two.